[1]
! HoCo4Pt PBE optimized geometry; values from VASP
&SYSTEM
  ibrav = 0, nat = 6, ntyp = 3
/
ATOMIC_SPECIES
Co 58.93 Co.upf
Ho 164.93 Ho.upf
Pt 195.08 Pt.upf
ATOMIC_POSITIONS crystal
Co 0.1277 0.6241 0.6241
Co 0.6241 0.6241 0.1277
Co 0.6241 0.1277 0.6241
Ho 0.0000 0.0000 0.0000
Pt 0.2500 0.2500 0.2500
Co 0.6241 0.6241 0.6241
CELL_PARAMETERS angstrom
-4.7697 0.4655 1.0586
-2.5026 -3.8265 1.7838
-1.4864 0.0052 4.6774
! Space-group type: F-43m, No. 216

=====

[2]
! BaTa2Al PBE optimized geometry; values from VASP
&SYSTEM
  ibrav = 0, nat = 4, ntyp = 3
/
ATOMIC_SPECIES
Ta 180.95 Ta.upf
Ba 137.33 Ba.upf
Al 26.98 Al.upf
ATOMIC_POSITIONS crystal
Ta 0.9649 0.9649 0.0000
Ba 0.2500 0.7500 0.5000
Al 0.7500 0.2500 0.5000
Ta 0.5351 0.5351 0.0000
CELL_PARAMETERS angstrom
6.5336 -0.0135 0.0047
3.5256 5.5007 -0.0047
-4.1647 -4.3292 2.5694
! Space-group type: Immm, No. 71

=====

[3]
! Ce8CuOs2 PBE optimized geometry; values from VASP
&SYSTEM
  ibrav = 0, nat = 11, ntyp = 3
/
ATOMIC_SPECIES
Ce 140.12 Ce.upf
Cu 63.55 Cu.upf
Os 190.23 Os.upf
ATOMIC_POSITIONS crystal
Ce 0.4109 0.6679 0.9213
Cu 0.2743 0.0277 0.0277
Os 0.3820 0.2797 0.6646
Os 0.3820 0.6646 0.2797
Ce 0.0466 0.2797 0.2797
Ce 0.9841 0.1739 0.7851
Ce 0.4109 0.9213 0.6679
Ce 0.9841 0.7851 0.1739
Ce 0.6924 0.1820 0.4447
Ce 0.6924 0.4447 0.1820
Ce 0.7400 0.6073 0.6073
CELL_PARAMETERS angstrom
5.6422 -0.4521 -1.2836
-2.5520 6.7356 -3.8661
-0.4656 -1.1450 8.0808
! Space-group type: Cm, No. 8

=====

| no. | density (g/cm³) | formation energy from the elements (eV/atom) | total energy (eV per cell) |
| --- | --- | --- | --- |
| 1 | 11.83 | -0.2487 | -40.534 |
| 2 | 9.46 | 0.7307 | -26.448 |
| 3 | 9.84 | -0.0349 | -74.410 |